Density functional theory data (PBE) for Zr2AlTl after structural relaxation.

Cell and atoms, written as POSCAR:
```
Zr2AlTl
1.0
3.144 0.000 0.000
0.000 4.297 0.000
-0.015 0.000 6.261
Zr Al Tl
2 1 1
direct
0.000 0.000 0.240 Zr
0.000 0.000 0.760 Zr
0.500 0.500 0.000 Al
0.500 0.500 0.500 Tl
```

**DOS at the Fermi energy**: 3.08 states/eV per cell
**Energy**: -6.031 eV/atom
**M_tot**: 0.0 μB per formula unit
**ΔE_f**: -0.2302 eV per atom



Density functional theory data (PBE) for ZrAl2Tl after structural relaxation.

Cell and atoms, written as POSCAR:
```
ZrAl2Tl
1.0
-3.858 3.858 2.955
3.858 -3.858 2.955
3.858 3.858 -2.955
Zr Al Tl
2 4 2
direct
0.000 0.000 0.000 Zr
0.750 0.250 0.500 Zr
0.138 0.625 0.013 Al
0.375 0.388 0.513 Al
0.612 0.125 0.987 Al
0.875 0.862 0.487 Al
0.250 0.750 0.500 Tl
0.500 0.500 0.000 Tl
```

**DOS at the Fermi energy**: 5.80 states/eV per cell
**Energy**: -4.375 eV/atom
**M_tot**: 0.0 μB per formula unit
**Excess energy over the best structure of this formula in the dataset**: 410 meV per atom
**ΔE_f**: 0.2245 eV per atom



Density functional theory data (PBE) for Zr4AlTl after structural relaxation.

Cell and atoms, written as POSCAR:
```
Zr4AlTl
1.0
0.000 4.095 4.095
4.095 0.000 4.095
4.095 4.095 0.000
Zr Al Tl
4 1 1
direct
0.124 0.124 0.124 Zr
0.124 0.124 0.628 Zr
0.124 0.628 0.124 Zr
0.628 0.124 0.124 Zr
0.750 0.750 0.750 Al
0.500 0.500 0.500 Tl
```

**DOS at the Fermi energy**: 7.03 states/eV per cell
**Energy**: -6.446 eV/atom
**M_tot**: 0.0 μB per formula unit
**Excess energy over the best structure of this formula in the dataset**: 456 meV per atom
**ΔE_f**: 0.2712 eV per atom



Density functional theory data (PBE) for ZrAlTl2 after structural relaxation.

Cell and atoms, written as POSCAR:
```
ZrAlTl2
1.0
3.131 0.000 0.000
0.000 5.397 0.000
-0.001 0.000 5.539
Zr Al Tl
1 1 2
direct
0.000 0.000 0.000 Zr
0.500 0.500 0.869 Al
0.499 0.000 0.509 Tl
0.998 0.500 0.343 Tl
```

**DOS at the Fermi energy**: 2.06 states/eV per cell
**Energy**: -4.173 eV/atom
**M_tot**: 0.0 μB per formula unit
**Excess energy over the best structure of this formula in the dataset**: 69 meV per atom
**ΔE_f**: 0.0831 eV per atom



Density functional theory data (PBE) for Zr2AlTl after structural relaxation.

Cell and atoms, written as POSCAR:
```
Zr2AlTl
1.0
3.402 0.000 0.000
0.000 4.169 0.000
0.000 0.000 6.244
Zr Al Tl
2 1 1
direct
0.000 0.000 0.000 Zr
0.500 0.500 0.246 Zr
0.000 0.000 0.471 Al
0.500 0.500 0.731 Tl
```

**DOS at the Fermi energy**: 2.92 states/eV per cell
**Energy**: -5.833 eV/atom
**M_tot**: 0.0 μB per formula unit
**ΔE_f**: -0.0318 eV per atom



Density functional theory data (PBE) for ZrAl2Tl after structural relaxation.

Cell and atoms, written as POSCAR:
```
ZrAl2Tl
1.0
3.081 0.000 0.000
0.000 4.664 0.000
0.000 0.000 5.728
Zr Al Tl
1 2 1
direct
0.000 0.000 0.000 Zr
0.500 0.500 0.208 Al
0.501 0.000 0.449 Al
0.499 0.500 0.722 Tl
```

**DOS at the Fermi energy**: 2.54 states/eV per cell
**Energy**: -4.662 eV/atom
**M_tot**: 0.0 μB per formula unit
**Excess energy over the best structure of this formula in the dataset**: 123 meV per atom
**ΔE_f**: -0.0618 eV per atom



Density functional theory data (PBE) for ZrAlTl2 after structural relaxation.

Cell and atoms, written as POSCAR:
```
ZrAlTl2
1.0
-3.972 3.972 3.031
3.972 -3.972 3.031
3.972 3.972 -3.031
Zr Al Tl
2 2 4
direct
0.000 0.000 0.000 Zr
0.750 0.250 0.500 Zr
0.250 0.750 0.500 Al
0.500 0.500 0.000 Al
0.150 0.125 0.525 Tl
0.375 0.850 0.975 Tl
0.600 0.625 0.475 Tl
0.875 0.400 0.025 Tl
```

**DOS at the Fermi energy**: 6.41 states/eV per cell
**Energy**: -4.003 eV/atom
**M_tot**: 0.0 μB per formula unit
**Excess energy over the best structure of this formula in the dataset**: 239 meV per atom
**ΔE_f**: 0.2528 eV per atom



Density functional theory data (PBE) for ZrAl3Tl after structural relaxation.

Cell and atoms, written as POSCAR:
```
ZrAl3Tl
1.0
5.077 0.000 0.000
0.000 5.077 0.000
0.000 0.000 5.077
Zr Al Tl
1 3 1
direct
0.000 0.000 0.000 Zr
0.000 0.500 0.500 Al
0.500 0.000 0.500 Al
0.500 0.500 0.000 Al
0.500 0.500 0.500 Tl
```

**DOS at the Fermi energy**: 5.98 states/eV per cell
**Energy**: -3.321 eV/atom
**M_tot**: 0.0 μB per formula unit
**Excess energy over the best structure of this formula in the dataset**: 362 meV per atom
**ΔE_f**: 1.1078 eV per atom



Density functional theory data (PBE) for Zr3Al2Tl after structural relaxation.

Cell and atoms, written as POSCAR:
```
Zr3Al2Tl
1.0
3.098 0.000 0.000
0.000 3.098 0.000
0.000 0.000 12.875
Zr Al Tl
3 2 1
direct
0.000 0.000 0.000 Zr
0.000 0.000 0.312 Zr
0.000 0.000 0.688 Zr
0.500 0.500 0.158 Al
0.500 0.500 0.842 Al
0.500 0.500 0.500 Tl
```

**DOS at the Fermi energy**: 4.95 states/eV per cell
**Energy**: -6.246 eV/atom
**M_tot**: 0.0 μB per formula unit
**ΔE_f**: -0.3298 eV per atom



Density functional theory data (PBE) for ZrAl2Tl after structural relaxation.

Cell and atoms, written as POSCAR:
```
ZrAl2Tl
1.0
0.000 3.485 3.485
3.485 0.000 3.485
3.485 3.485 0.000
Zr Al Tl
1 2 1
direct
0.000 0.000 0.000 Zr
0.250 0.250 0.250 Al
0.750 0.750 0.750 Al
0.500 0.500 0.500 Tl
```

**DOS at the Fermi energy**: 5.45 states/eV per cell
**Energy**: -4.319 eV/atom
**M_tot**: 0.0 μB per formula unit
**Excess energy over the best structure of this formula in the dataset**: 466 meV per atom
**ΔE_f**: 0.2809 eV per atom



Density functional theory data (PBE) for ZrAlTl2 after structural relaxation.

Cell and atoms, written as POSCAR:
```
ZrAlTl2
1.0
4.472 0.000 0.000
0.000 4.472 0.000
0.000 0.000 4.485
Zr Al Tl
1 1 2
direct
0.000 0.000 0.000 Zr
0.500 0.500 0.000 Al
0.000 0.500 0.500 Tl
0.500 0.000 0.500 Tl
```

**DOS at the Fermi energy**: 2.35 states/eV per cell
**Energy**: -4.208 eV/atom
**M_tot**: 0.0 μB per formula unit
**Excess energy over the best structure of this formula in the dataset**: 34 meV per atom
**ΔE_f**: 0.0477 eV per atom



Density functional theory data (PBE) for ZrAlTl2 after structural relaxation.

Cell and atoms, written as POSCAR:
```
ZrAlTl2
1.0
5.786 -1.640 0.000
5.786 1.640 0.000
-2.544 0.000 4.841
Zr Al Tl
1 1 2
direct
0.000 0.000 0.000 Zr
0.270 0.270 0.956 Al
0.521 0.521 0.540 Tl
0.756 0.756 0.421 Tl
```

**DOS at the Fermi energy**: 1.73 states/eV per cell
**Energy**: -4.219 eV/atom
**M_tot**: 0.0 μB per formula unit
**Excess energy over the best structure of this formula in the dataset**: 23 meV per atom
**ΔE_f**: 0.0366 eV per atom



Density functional theory data (PBE) for ZrAl2Tl after structural relaxation.

Cell and atoms, written as POSCAR:
```
ZrAl2Tl
1.0
-2.036 2.036 4.746
2.036 -2.036 4.746
2.036 2.036 -4.746
Zr Al Tl
1 2 1
direct
0.000 0.000 0.000 Zr
0.500 0.500 0.000 Al
0.750 0.250 0.500 Al
0.250 0.750 0.500 Tl
```

**DOS at the Fermi energy**: 1.28 states/eV per cell
**Energy**: -4.785 eV/atom
**M_tot**: 0.0 μB per formula unit
**Excess energy over the best structure of this formula in the dataset**: 0 meV per atom
**ΔE_f**: -0.1851 eV per atom



Density functional theory data (PBE) for ZrAlTl2 after structural relaxation.

Cell and atoms, written as POSCAR:
```
ZrAlTl2
1.0
3.876 0.000 0.000
0.000 3.876 0.000
0.000 0.000 6.293
Zr Al Tl
1 1 2
direct
0.000 0.000 0.000 Zr
0.500 0.500 0.193 Al
0.000 0.000 0.474 Tl
0.500 0.500 0.743 Tl
```

**DOS at the Fermi energy**: 3.34 states/eV per cell
**Energy**: -4.152 eV/atom
**M_tot**: 0.0 μB per formula unit
**Excess energy over the best structure of this formula in the dataset**: 90 meV per atom
**ΔE_f**: 0.1036 eV per atom



Density functional theory data (PBE) for Zr2AlTl after structural relaxation.

Cell and atoms, written as POSCAR:
```
Zr2AlTl
1.0
0.000 3.523 3.523
3.523 0.000 3.523
3.523 3.523 0.000
Zr Al Tl
2 1 1
direct
0.000 0.000 0.000 Zr
0.250 0.250 0.250 Zr
0.500 0.500 0.500 Al
0.750 0.750 0.750 Tl
```

**DOS at the Fermi energy**: 5.83 states/eV per cell
**Energy**: -5.512 eV/atom
**M_tot**: 1.2 μB per formula unit
**ΔE_f**: 0.2896 eV per atom



Density functional theory data (PBE) for ZrAlTl2 after structural relaxation.

Cell and atoms, written as POSCAR:
```
ZrAlTl2
1.0
0.000 3.005 4.947
2.999 0.000 4.947
2.999 3.005 0.000
Zr Al Tl
1 1 2
direct
0.000 0.000 0.000 Zr
0.250 0.250 0.250 Al
0.500 0.500 0.500 Tl
0.750 0.750 0.750 Tl
```

**DOS at the Fermi energy**: 1.67 states/eV per cell
**Energy**: -4.242 eV/atom
**M_tot**: 0.0 μB per formula unit
**Excess energy over the best structure of this formula in the dataset**: 0 meV per atom
**ΔE_f**: 0.0137 eV per atom



Density functional theory data (PBE) for Zr3AlTl after structural relaxation.

Cell and atoms, written as POSCAR:
```
Zr3AlTl
1.0
7.003 0.000 0.000
-3.501 6.065 0.000
0.000 0.000 5.449
Zr Al Tl
6 2 2
direct
0.190 0.379 0.250 Zr
0.190 0.810 0.250 Zr
0.379 0.190 0.750 Zr
0.621 0.810 0.250 Zr
0.810 0.190 0.750 Zr
0.810 0.621 0.750 Zr
0.000 0.000 0.000 Al
0.000 0.000 0.500 Al
0.333 0.667 0.750 Tl
0.667 0.333 0.250 Tl
```

**DOS at the Fermi energy**: 7.84 states/eV per cell
**Energy**: -6.261 eV/atom
**M_tot**: 0.0 μB per formula unit
**Excess energy over the best structure of this formula in the dataset**: 0 meV per atom
**ΔE_f**: 0.0892 eV per atom



Density functional theory data (PBE) for Zr2AlTl after structural relaxation.

Cell and atoms, written as POSCAR:
```
Zr2AlTl
1.0
5.204 0.000 0.000
0.000 3.292 0.000
-1.478 0.000 5.149
Zr Al Tl
2 1 1
direct
0.000 0.000 0.000 Zr
0.000 0.500 0.500 Zr
0.500 0.000 0.500 Al
0.500 0.500 0.000 Tl
```

**DOS at the Fermi energy**: 3.17 states/eV per cell
**Energy**: -5.862 eV/atom
**M_tot**: 0.0 μB per formula unit
**ΔE_f**: -0.0603 eV per atom



Density functional theory data (PBE) for Zr3AlTl after structural relaxation.

Cell and atoms, written as POSCAR:
```
Zr3AlTl
1.0
2.782 -7.846 0.000
2.782 7.846 0.000
0.000 0.000 5.531
Zr Al Tl
6 2 2
direct
0.000 0.000 0.000 Zr
0.000 0.000 0.500 Zr
0.097 0.404 0.250 Zr
0.404 0.097 0.750 Zr
0.596 0.903 0.250 Zr
0.903 0.596 0.750 Zr
0.474 0.526 0.750 Al
0.526 0.474 0.250 Al
0.173 0.827 0.250 Tl
0.827 0.173 0.750 Tl
```

**DOS at the Fermi energy**: 9.03 states/eV per cell
**Energy**: -6.161 eV/atom
**M_tot**: 0.0 μB per formula unit
**Excess energy over the best structure of this formula in the dataset**: 100 meV per atom
**ΔE_f**: 0.1895 eV per atom



Density functional theory data (PBE) for Zr4AlTl after structural relaxation.

Cell and atoms, written as POSCAR:
```
Zr4AlTl
1.0
5.312 -1.649 0.000
5.312 1.649 0.000
-3.098 0.000 7.510
Zr Al Tl
4 1 1
direct
0.162 0.162 0.339 Zr
0.164 0.164 0.824 Zr
0.836 0.836 0.176 Zr
0.838 0.838 0.661 Zr
0.500 0.500 0.500 Al
0.500 0.500 0.000 Tl
```

**DOS at the Fermi energy**: 5.17 states/eV per cell
**Energy**: -6.902 eV/atom
**M_tot**: 0.0 μB per formula unit
**Excess energy over the best structure of this formula in the dataset**: 0 meV per atom
**ΔE_f**: -0.1852 eV per atom



Density functional theory data (PBE) for Zr2AlTl after structural relaxation.

Cell and atoms, written as POSCAR:
```
Zr2AlTl
1.0
2.213 -2.221 0.000
2.213 2.221 0.000
0.000 0.000 9.058
Zr Al Tl
2 1 1
direct
0.000 0.000 0.000 Zr
0.500 0.500 0.255 Zr
0.500 0.500 0.781 Al
0.000 0.000 0.528 Tl
```

**DOS at the Fermi energy**: 3.71 states/eV per cell
**Energy**: -5.807 eV/atom
**M_tot**: 0.0 μB per formula unit
**ΔE_f**: -0.0057 eV per atom



Density functional theory data (PBE) for Zr2AlTl after structural relaxation.

Cell and atoms, written as POSCAR:
```
Zr2AlTl
1.0
5.027 -1.564 0.000
5.027 1.564 0.000
-0.800 0.000 5.621
Zr Al Tl
2 1 1
direct
0.248 0.248 0.233 Zr
0.752 0.752 0.767 Zr
0.500 0.500 0.000 Al
0.000 0.000 0.500 Tl
```

**DOS at the Fermi energy**: 2.90 states/eV per cell
**Energy**: -5.874 eV/atom
**M_tot**: 0.0 μB per formula unit
**ΔE_f**: -0.0725 eV per atom



Density functional theory data (PBE) for ZrAlTl2 after structural relaxation.

Cell and atoms, written as POSCAR:
```
ZrAlTl2
1.0
1.652 0.954 9.862
-1.652 0.954 9.862
0.000 -1.908 9.862
Zr Al Tl
1 1 2
direct
0.000 0.000 0.000 Zr
0.500 0.500 0.500 Al
0.248 0.248 0.248 Tl
0.752 0.752 0.752 Tl
```

**DOS at the Fermi energy**: 1.98 states/eV per cell
**Energy**: -4.117 eV/atom
**M_tot**: 0.0 μB per formula unit
**Excess energy over the best structure of this formula in the dataset**: 125 meV per atom
**ΔE_f**: 0.1387 eV per atom



Density functional theory data (PBE) for ZrAlTl after structural relaxation.

Cell and atoms, written as POSCAR:
```
ZrAlTl
1.0
4.080 0.000 0.000
-0.002 4.095 0.000
-0.058 -2.040 8.061
Zr Al Tl
2 2 2
direct
0.000 0.000 0.000 Zr
0.496 0.835 0.670 Zr
0.498 0.465 0.930 Al
0.995 0.370 0.739 Al
0.027 0.188 0.404 Tl
0.526 0.618 0.266 Tl
```

**DOS at the Fermi energy**: 4.48 states/eV per cell
**Energy**: -5.030 eV/atom
**M_tot**: 0.0 μB per formula unit
**Excess energy over the best structure of this formula in the dataset**: 0 meV per atom
**ΔE_f**: -0.1445 eV per atom



Density functional theory data (PBE) for ZrAlTl2 after structural relaxation.

Cell and atoms, written as POSCAR:
```
ZrAlTl2
1.0
0.000 3.613 3.613
3.613 0.000 3.613
3.613 3.613 0.000
Zr Al Tl
1 1 2
direct
0.000 0.000 0.000 Zr
0.500 0.500 0.500 Al
0.250 0.250 0.250 Tl
0.750 0.750 0.750 Tl
```

**DOS at the Fermi energy**: 4.94 states/eV per cell
**Energy**: -3.873 eV/atom
**M_tot**: 0.3 μB per formula unit
**Excess energy over the best structure of this formula in the dataset**: 369 meV per atom
**ΔE_f**: 0.3832 eV per atom



Density functional theory data (PBE) for Zr2AlTl after structural relaxation.

Cell and atoms, written as POSCAR:
```
Zr2AlTl
1.0
-2.096 2.104 4.894
2.096 -2.104 4.894
2.096 2.104 -4.894
Zr Al Tl
2 1 1
direct
0.000 0.000 0.000 Zr
0.750 0.250 0.500 Zr
0.250 0.750 0.500 Al
0.499 0.499 0.000 Tl
```

**DOS at the Fermi energy**: 1.94 states/eV per cell
**Energy**: -5.995 eV/atom
**M_tot**: 0.0 μB per formula unit
**ΔE_f**: -0.1935 eV per atom



Density functional theory data (PBE) for Zr3AlTl after structural relaxation.

Cell and atoms, written as POSCAR:
```
Zr3AlTl
1.0
5.297 0.000 0.000
0.000 5.297 0.000
0.000 0.000 5.297
Zr Al Tl
3 1 1
direct
0.000 0.000 0.500 Zr
0.000 0.500 0.000 Zr
0.500 0.000 0.000 Zr
0.500 0.500 0.500 Al
0.000 0.000 0.000 Tl
```

**DOS at the Fermi energy**: 6.91 states/eV per cell
**Energy**: -5.253 eV/atom
**M_tot**: 0.0 μB per formula unit
**Excess energy over the best structure of this formula in the dataset**: 1008 meV per atom
**ΔE_f**: 1.0976 eV per atom



Density functional theory data (PBE) for Zr3AlTl after structural relaxation.

Cell and atoms, written as POSCAR:
```
Zr3AlTl
1.0
5.035 0.000 0.000
0.000 5.035 0.000
0.000 0.000 5.035
Zr Al Tl
3 1 1
direct
0.000 0.000 0.500 Zr
0.000 0.500 0.000 Zr
0.500 0.000 0.000 Zr
0.000 0.000 0.000 Al
0.500 0.500 0.500 Tl
```

**DOS at the Fermi energy**: 4.19 states/eV per cell
**Energy**: -5.929 eV/atom
**M_tot**: 0.0 μB per formula unit
**Excess energy over the best structure of this formula in the dataset**: 333 meV per atom
**ΔE_f**: 0.4217 eV per atom



Density functional theory data (PBE) for Zr2AlTl after structural relaxation.

Cell and atoms, written as POSCAR:
```
Zr2AlTl
1.0
1.602 0.925 9.945
-1.602 0.925 9.945
0.000 -1.849 9.945
Zr Al Tl
2 1 1
direct
0.246 0.246 0.246 Zr
0.754 0.754 0.754 Zr
0.500 0.500 0.500 Al
0.000 0.000 0.000 Tl
```

**DOS at the Fermi energy**: 5.50 states/eV per cell
**Energy**: -5.885 eV/atom
**M_tot**: 0.0 μB per formula unit
**ΔE_f**: -0.0839 eV per atom